1.
Entry from the Alexandria database: Tm3Cl7O after structural relaxation (PBE).

The value obtained for the spin magnetization is 0.00 μB/f.u. Its space group is No. 156. As for the formation energy (no corrections): -2.466 eV/atom. As for the calculated density: 3907 kg/m3.

a b c (Å): 6.6037 7.5698 7.5698
angles (deg): 120.00 90.00 90.00
With the nearest neighbours (Å) after each atom.
Element x y z (fractional)
1 Cl 0.5537 0.8275 0.1725  2 Tm 2.64
2 Cl 0.5537 0.3450 0.1725  2 Tm 2.64
3 Cl 0.0011 0.6661 0.8331  2 Tm 2.62
4 Cl 0.0011 0.1669 0.8331  2 Tm 2.62
5 Cl 0.5537 0.8275 0.6550  2 Tm 2.64
6 Cl 0.0011 0.1669 0.3339  2 Tm 2.62
7 Cl 0.9920 0.6667 0.3333  3 Tm 2.78
8 Tm 0.7656 0.4877 0.9755  1 O 2.14
9 Tm 0.7656 0.4877 0.5123  1 O 2.14
10 Tm 0.7656 0.0245 0.5123  1 O 2.14
11 O 0.6620 0.3333 0.6667  3 Tm 2.14



2.
Entry from the Alexandria database: Tm3UCl2O6 after structural relaxation (PBE).

The value obtained for the spin magnetization is 1.00 μB/f.u. Its space group is No. 12. As for the formation energy (no corrections): -3.046 eV/atom. As for the calculated density: 7219 kg/m3.

a b c (Å): 5.3798 6.6718 6.8452
angles (deg): 119.17 79.41 90.00
With the nearest neighbours (Å) after each atom.
Element x y z (fractional)
1 O 0.2895 0.1836 0.8658  2 Tm 2.24-2.30, 1 U 2.26
2 O 0.7105 0.3177 0.1342  2 Tm 2.24-2.30, 1 U 2.26
3 O 0.7105 0.8164 0.1342  2 Tm 2.24-2.30, 1 U 2.26
4 O 0.6649 0.8224 0.6449  1 U 2.12, 2 Tm 2.15
5 O 0.2895 0.6823 0.8658  2 Tm 2.24-2.30, 1 U 2.26
6 O 0.3351 0.1776 0.3551  1 U 2.12, 2 Tm 2.15
7 Cl 0.1683 0.6943 0.3886  3 Tm 2.63-2.66, 1 O 2.82
8 Cl 0.8317 0.3057 0.6114  3 Tm 2.63-2.66, 1 O 2.82
9 Tm 0.5000 0.0000 0.5000  4 O 2.15-2.24
10 Tm 0.5000 0.5000 0.5000  4 O 2.15-2.24
11 Tm 0.0000 0.5000 0.0000  4 O 2.30
12 U 0.5000 0.0000 0.0000  6 O 2.12-2.26